Here is K2RbTiCr after structural relaxation from Alexandria. Energies are from PBE-GGA.

Summary:
calculated formation energy	0.967	eV per atom
V	44.28	Å³ per atom
uncorrected energy	-3.1687	eV/atom

extended XYZ file:
```
5
Lattice="6.871 0.000 0.000 0.000 4.691 0.000 0.000 0.000 6.871" Properties=species:S:1:pos:R:3 pbc="T T T"
K 0.000 0.000 3.435
K 3.435 0.000 0.000
Cr 0.000 0.000 0.000
Rb 3.435 2.345 3.435
Ti 0.000 2.345 0.000
```